# NaLi2ScCu

A relaxed NaLi2ScCu crystal (PBE, Alexandria).

Output
V = 99.9 Å³/f.u.
VASP energy = -2.539 eV/atom
Density of states at the Fermi level = 5.013 states/eV/f.u.
Total magnetic moment = 0.00 μB/f.u.

Structure (CIF):
```
data_NaLi2ScCu
_symmetry_space_group_name_H-M 'P 4/m m m'
_symmetry_Int_Tables_number 123
_symmetry_space_group_name_Hall '-P 4 2'
_cell_length_a 4.447
_cell_length_b 4.447
_cell_length_c 5.050
_cell_angle_alpha 90.00
_cell_angle_beta 90.00
_cell_angle_gamma 90.00
loop_
_atom_site_label
_atom_site_type_symbol
_atom_site_fract_x
_atom_site_fract_y
_atom_site_fract_z
Na1 Na 0.000 0.000 0.000
Li1 Li 0.000 0.500 0.000
Sc1 Sc 0.500 0.500 0.500
Cu1 Cu 0.000 0.000 0.500
```